# Pr2Nd2CI3Br2 (GGA-PBE, relaxed)
data_Pr2Nd2CI3Br2
_chemical_formula_sum 'Pr4 Nd4 C2 I6 Br4'
_symmetry_space_group_name_H-M 'C 1 2/m 1'
_symmetry_Int_Tables_number 12
_cell_length_a 19.166
_cell_length_b 4.070
_cell_length_c 8.885
_cell_angle_alpha 90.00
_cell_angle_beta 103.25
_cell_angle_gamma 90.00
loop_
_symmetry_equiv_pos_as_xyz
'x,y,z'
'-x,-y,-z'
'-x,y,-z'
'x,-y,z'
'x+1/2,y+1/2,z'
'-x+1/2,-y+1/2,-z'
'-x+1/2,y+1/2,-z'
'x+1/2,-y+1/2,z'
loop_
_atom_site_label
_atom_site_fract_x
_atom_site_fract_y
_atom_site_fract_z
Pr1 0.000 0.000 0.196
Nd1 0.136 0.500 0.072
C1 0.000 0.500 0.000
I1 0.000 0.500 0.500
I2 0.172 0.000 0.824
Br1 0.160 0.000 0.324
# total moment	0.0333	μB per atom

## KAgTe3Pb (GGA-PBE)

Data for a geometry-optimized KAgTe3Pb structure.

The structure in CIF format:
```
data_KAgTe3Pb
_chemical_formula_sum 'K4 Ag4 Te12 Pb4'
_symmetry_space_group_name_H-M 'C m c m'
_symmetry_Int_Tables_number 63
_symmetry_space_group_name_Hall '-C 2c 2'
_cell_length_a 4.335
_cell_length_b 14.320
_cell_length_c 12.335
_cell_angle_alpha 90.00
_cell_angle_beta 90.00
_cell_angle_gamma 90.00
loop_
_atom_site_label
_atom_site_fract_x
_atom_site_fract_y
_atom_site_fract_z
K1 0.000 0.230 0.250
Ag1 0.000 0.081 0.750
Te1 0.000 0.164 0.537
Te2 0.000 0.461 0.750
Pb1 0.000 0.500 0.000
```

| no. | volume (Å³ per cell) | total DFT energy (no corrections) (eV/cell) |
| --- | --- | --- |
| 1 | 675 | -97.58 |
| 2 | 766 | -76.51 |